Record 1
# Hf3HgN

A relaxed Hf3HgN crystal (PBE, the Alexandria database).

Structure (POSCAR):
```
Hf3HgN
1.0
6.681 0.000 0.000
0.000 3.291 0.000
0.000 0.000 8.898
Hf Hg N
6 2 2
direct
0.007 0.000 0.237
0.250 0.500 0.494
0.493 0.000 0.237
0.507 0.000 0.763
0.750 0.500 0.506
0.993 0.000 0.763
0.250 0.500 0.005
0.750 0.500 0.995
0.250 0.000 0.645
0.750 0.000 0.355
```

Calculated values
Theoretical density in Mg/m³: 12.73
Formation energy from raw total energies in eV per atom: -0.61
Spin magnetization in μB/cell: 0.0

=====

Record 2
# Hf2HgN

A relaxed Hf2HgN crystal (PBE, the Alexandria database).

Structure (POSCAR):
```
Hf2HgN
1.0
5.840 -1.623 0.000
5.840 1.623 0.000
-1.742 0.000 7.631
Hf Hg N
4 2 2
direct
0.000 0.000 0.000
0.097 0.097 0.583
0.356 0.356 0.632
0.703 0.703 0.270
0.256 0.256 0.959
0.437 0.437 0.299
0.717 0.717 0.547
0.970 0.970 0.732
```

Calculated values
Theoretical density in Mg/m³: 13.13
Formation energy from raw total energies in eV per atom: -0.79
Spin magnetization in μB/cell: 0.0

=====

Record 3
# Hf3HgN

A relaxed Hf3HgN crystal (PBE, the Alexandria database).

Structure (POSCAR):
```
Hf3HgN
1.0
2.832 1.635 7.124
-2.832 1.635 7.124
0.000 -3.271 7.124
Hf Hg N
6 2 2
direct
0.102 0.782 0.448
0.218 0.552 0.898
0.448 0.102 0.782
0.552 0.898 0.218
0.782 0.448 0.102
0.898 0.218 0.552
0.335 0.335 0.335
0.665 0.665 0.665
0.164 0.164 0.164
0.836 0.836 0.836
```

Calculated values
Theoretical density in Mg/m³: 12.58
Formation energy from raw total energies in eV per atom: -0.60
Spin magnetization in μB/cell: 0.0

=====

Record 4
# Hf3HgN

A relaxed Hf3HgN crystal (PBE, the Alexandria database).

Structure (POSCAR):
```
Hf3HgN
1.0
4.445 0.000 0.000
0.000 4.445 0.000
0.000 0.000 4.445
Hf Hg N
3 1 1
direct
0.000 0.000 0.500
0.000 0.500 0.000
0.500 0.000 0.000
0.500 0.500 0.500
0.000 0.000 0.000
```

Calculated values
Theoretical density in Mg/m³: 14.18
Formation energy from raw total energies in eV per atom: -0.75
Spin magnetization in μB/cell: 0.0

=====

Record 5
# Hf3HgN

A relaxed Hf3HgN crystal (PBE, the Alexandria database).

Structure (POSCAR):
```
Hf3HgN
1.0
4.028 2.325 3.506
-4.028 2.325 3.506
0.000 -4.651 3.506
Hf Hg N
6 2 2
direct
0.001 0.250 0.499
0.250 0.499 0.001
0.499 0.001 0.250
0.501 0.999 0.750
0.750 0.501 0.999
0.999 0.750 0.501
0.000 0.000 0.000
0.500 0.500 0.500
0.250 0.250 0.250
0.750 0.750 0.750
```

Calculated values
Theoretical density in Mg/m³: 12.64
Formation energy from raw total energies in eV per atom: -0.24
Spin magnetization in μB/cell: 0.0

=====

Record 6
# Hf3HgN

A relaxed Hf3HgN crystal (PBE, the Alexandria database).

Structure (POSCAR):
```
Hf3HgN
1.0
8.123 0.000 0.000
0.000 5.748 0.000
-3.198 0.000 7.814
Hf Hg N
12 4 4
direct
0.050 0.087 0.348
0.050 0.413 0.848
0.184 0.570 0.537
0.184 0.930 0.037
0.339 0.126 0.761
0.339 0.374 0.261
0.661 0.626 0.739
0.661 0.874 0.239
0.816 0.070 0.963
0.816 0.430 0.463
0.950 0.587 0.152
0.950 0.913 0.652
0.389 0.665 0.893
0.389 0.835 0.393
0.611 0.165 0.607
0.611 0.335 0.107
0.070 0.248 0.103
0.070 0.252 0.603
0.930 0.748 0.397
0.930 0.752 0.897
```

Calculated values
Theoretical density in Mg/m³: 13.66
Formation energy from raw total energies in eV per atom: -0.68
Spin magnetization in μB/cell: 0.0

=====

Record 7
# Hf6HgN

A relaxed Hf6HgN crystal (PBE, the Alexandria database).

Structure (POSCAR):
```
Hf6HgN
1.0
4.220 2.436 2.550
-4.220 2.436 2.550
0.000 -4.872 2.550
Hf Hg N
6 1 1
direct
0.081 0.774 0.658
0.226 0.342 0.919
0.342 0.919 0.226
0.658 0.081 0.774
0.774 0.658 0.081
0.919 0.226 0.342
0.500 0.500 0.500
0.000 0.000 0.000
```

Calculated values
Theoretical density in Mg/m³: 13.57
Formation energy from raw total energies in eV per atom: -0.45
Spin magnetization in μB/cell: 0.0

=====

Record 8
# Hf3HgN

A relaxed Hf3HgN crystal (PBE, the Alexandria database).

Structure (POSCAR):
```
Hf3HgN
1.0
-2.477 6.126 3.244
2.477 -6.126 3.244
2.477 6.126 -3.244
Hf Hg N
6 2 2
direct
0.170 0.420 0.750
0.236 0.114 0.122
0.492 0.114 0.378
0.508 0.886 0.622
0.764 0.886 0.878
0.830 0.580 0.250
0.000 0.500 0.500
0.500 0.500 0.000
0.153 0.903 0.250
0.847 0.097 0.750
```

Calculated values
Theoretical density in Mg/m³: 12.65
Formation energy from raw total energies in eV per atom: -0.48
Spin magnetization in μB/cell: 0.0

=====

Record 9
# Hf3HgN

A relaxed Hf3HgN crystal (PBE, the Alexandria database).

Structure (POSCAR):
```
Hf3HgN
1.0
3.511 0.000 0.000
-1.756 3.041 0.000
0.000 0.000 18.865
Hf Hg N
6 2 2
direct
0.000 0.000 0.250
0.000 0.000 0.750
0.333 0.667 0.122
0.333 0.667 0.378
0.667 0.333 0.622
0.667 0.333 0.878
0.000 0.000 0.000
0.000 0.000 0.500
0.333 0.667 0.250
0.667 0.333 0.750
```

Calculated values
Theoretical density in Mg/m³: 12.37
Formation energy from raw total energies in eV per atom: -0.46
Spin magnetization in μB/cell: 0.0

=====

Record 10
# Hf3HgN

A relaxed Hf3HgN crystal (PBE, the Alexandria database).

Structure (POSCAR):
```
Hf3HgN
1.0
5.242 -2.280 0.000
5.242 2.280 0.000
-3.334 0.000 7.463
Hf Hg N
6 2 2
direct
0.112 0.112 0.192
0.143 0.143 0.670
0.356 0.356 0.061
0.644 0.644 0.939
0.857 0.857 0.330
0.888 0.888 0.808
0.395 0.395 0.577
0.605 0.605 0.423
0.119 0.119 0.925
0.881 0.881 0.075
```

Calculated values
Theoretical density in Mg/m³: 13.97
Formation energy from raw total energies in eV per atom: -0.78
Spin magnetization in μB/cell: 0.0

=====

Record 11
# Hf2HgN

A relaxed Hf2HgN crystal (PBE, the Alexandria database).

Structure (POSCAR):
```
Hf2HgN
1.0
0.000 3.264 3.264
3.264 0.000 3.264
3.264 3.264 0.000
Hf Hg N
2 1 1
direct
0.250 0.250 0.250
0.750 0.750 0.750
0.000 0.000 0.000
0.500 0.500 0.500
```

Calculated values
Theoretical density in Mg/m³: 13.64
Formation energy from raw total energies in eV per atom: 0.53
Spin magnetization in μB/cell: 0.0

=====

Record 12
# Hf3HgN

A relaxed Hf3HgN crystal (PBE, the Alexandria database).

Structure (POSCAR):
```
Hf3HgN
1.0
4.203 2.427 1.834
-4.203 2.427 1.834
0.000 -4.854 1.834
Hf Hg N
3 1 1
direct
0.205 0.205 0.590
0.205 0.590 0.205
0.590 0.205 0.205
0.879 0.879 0.879
0.465 0.465 0.465
```

Calculated values
Theoretical density in Mg/m³: 11.10
Formation energy from raw total energies in eV per atom: 0.03
Spin magnetization in μB/cell: 0.0

=====

Among the records above, which one has the lowest theoretical density? number 12